# 1
Compound: CaSm8In6
Source: Alexandria via LeMat-Bulk
Functional: PBE
Structure: relaxed

The formation energy comes out at -0.24 eV/atom. As for the crystal system: trigonal. The total DFT energy (no corrections) comes out at -3.983 eV per atom.

Lattice parameters (Å, degrees): 8.450 8.450 8.450 66.23 66.23 66.23
Atoms (fractional coordinates):
Ca1 0.000 0.000 0.000
Sm1 0.114 0.443 0.783
Sm2 0.217 0.886 0.557
Sm3 0.335 0.335 0.335
Sm4 0.443 0.783 0.114
Sm5 0.557 0.217 0.886
Sm6 0.665 0.665 0.665
Sm7 0.783 0.114 0.443
Sm8 0.886 0.557 0.217
In1 0.055 0.722 0.391
In2 0.278 0.609 0.945
In3 0.391 0.055 0.722
In4 0.609 0.945 0.278
In5 0.722 0.391 0.055
In6 0.945 0.278 0.609



# 2
Compound: Dy2ScAl3Zn6
Source: Alexandria via LeMat-Bulk
Functional: PBE
Structure: relaxed

The formation energy comes out at 0.05 eV/atom. As for the crystal system: tetragonal. The total DFT energy (no corrections) comes out at -2.817 eV per atom.

Lattice parameters (Å, degrees): 3.924 3.924 17.650 90.00 90.00 90.00
Atoms (fractional coordinates):
Dy1 0.000 0.000 0.212
Dy2 0.000 0.000 0.788
Sc1 0.000 0.000 0.500
Al1 0.500 0.500 0.000
Al2 0.500 0.500 0.280
Al3 0.500 0.500 0.720
Zn1 0.000 0.500 0.378
Zn2 0.000 0.500 0.622
Zn3 0.500 0.000 0.378
Zn4 0.500 0.000 0.622
Zn5 0.500 0.500 0.137
Zn6 0.500 0.500 0.863



# 3
Compound: Ho8Cd2Sn
Source: Alexandria via LeMat-Bulk
Functional: PBE
Structure: relaxed

The formation energy comes out at -0.11 eV/atom. As for the crystal system: monoclinic. The total DFT energy (no corrections) comes out at -3.967 eV per atom.

Lattice parameters (Å, degrees): 8.483 8.483 5.463 100.95 100.95 118.08
Atoms (fractional coordinates):
Ho1 0.093 0.320 0.614
Ho2 0.221 0.779 0.000
Ho3 0.320 0.093 0.614
Ho4 0.397 0.397 0.199
Ho5 0.603 0.603 0.801
Ho6 0.680 0.907 0.386
Ho7 0.779 0.221 0.000
Ho8 0.907 0.680 0.386
Cd1 0.306 0.694 0.500
Cd2 0.694 0.306 0.500
Sn1 0.000 0.000 0.000



# 4
Compound: NdDy2Zr
Source: Alexandria via LeMat-Bulk
Functional: PBE
Structure: relaxed

The formation energy comes out at 0.32 eV/atom. As for the crystal system: trigonal. For the offset from the most stable computed form, the calculation gives 0.2339 eV/atom. The total DFT energy (no corrections) comes out at -5.311 eV per atom.

Lattice parameters (Å, degrees): 12.251 12.251 12.251 15.87 15.87 15.87
Atoms (fractional coordinates):
Nd1 0.000 0.000 0.000
Dy1 0.415 0.415 0.415
Dy2 0.585 0.585 0.585
Zr1 0.500 0.500 0.500



# 5
Compound: KSmSn2I8
Source: Alexandria via LeMat-Bulk
Functional: PBE
Structure: relaxed

As for the crystal system: triclinic. For the formation energy without anion corrections, the calculation gives -0.93 eV/atom. The total DFT energy (no corrections) comes out at -3.114 eV per atom.

Lattice parameters (Å, degrees): 7.351 7.823 9.621 89.98 89.96 88.93
Atoms (fractional coordinates):
K1 0.000 0.000 0.000
Sm1 0.000 0.000 0.500
Sn1 0.500 0.500 0.248
Sn2 0.500 0.500 0.752
I1 0.240 0.328 0.500
I2 0.251 0.842 0.726
I3 0.252 0.842 0.274
I4 0.271 0.365 0.000
I5 0.729 0.635 0.000
I6 0.748 0.158 0.726
I7 0.749 0.158 0.274
I8 0.760 0.672 0.500



# 6
Compound: Ce2NiPdS5
Source: Alexandria via LeMat-Bulk
Functional: PBE
Structure: relaxed

As for the crystal system: orthorhombic. For the formation energy without anion corrections, the calculation gives -1.22 eV/atom. The total DFT energy (no corrections) comes out at -6.054 eV per atom.

Lattice parameters (Å, degrees): 8.116 8.116 11.371 90.00 90.00 152.59
Atoms (fractional coordinates):
Ce1 0.119 0.881 0.500
Ce2 0.126 0.874 0.853
Ce3 0.874 0.126 0.353
Ce4 0.881 0.119 0.000
Ni1 0.428 0.572 0.597
Ni2 0.572 0.428 0.097
Pd1 0.163 0.837 0.218
Pd2 0.837 0.163 0.718
S1 0.015 0.985 0.177
S2 0.306 0.694 0.501
S3 0.308 0.692 0.843
S4 0.335 0.665 0.173
S5 0.497 0.503 0.424
S6 0.503 0.497 0.924
S7 0.665 0.335 0.673
S8 0.692 0.308 0.343
S9 0.694 0.306 0.001
S10 0.985 0.015 0.677



# 7
Compound: Sb3SI
Source: Alexandria via LeMat-Bulk
Functional: PBE
Structure: relaxed

As for the crystal system: cubic. For the formation energy without anion corrections, the calculation gives 0.56 eV/atom. For the offset from the most stable computed form, the calculation gives 0.0000 eV/atom. The total DFT energy (no corrections) comes out at -3.053 eV per atom.

Lattice parameters (Å, degrees): 5.345 5.345 5.345 90.00 90.00 90.00
Atoms (fractional coordinates):
Sb1 0.000 0.000 0.500
Sb2 0.000 0.500 0.000
Sb3 0.500 0.000 0.000
S1 0.000 0.000 0.000
I1 0.500 0.500 0.500



# 8
Compound: Ba2CaIrI
Source: Alexandria via LeMat-Bulk
Functional: PBE
Structure: relaxed

As for the crystal system: tetragonal. For the formation energy without anion corrections, the calculation gives -0.51 eV/atom. The total DFT energy (no corrections) comes out at -3.763 eV per atom.

Lattice parameters (Å, degrees): 6.176 6.176 5.532 90.00 90.00 90.00
Atoms (fractional coordinates):
Ba1 0.000 0.500 0.000
Ba2 0.500 0.000 0.000
Ca1 0.000 0.000 0.500
Ir1 0.000 0.000 0.000
I1 0.500 0.500 0.500



# 9
Compound: ZrSiHg
Source: Alexandria via LeMat-Bulk
Functional: PBE
Structure: relaxed

As for the crystal system: trigonal. For the formation energy without anion corrections, the calculation gives 0.08 eV/atom. For the offset from the most stable computed form, the calculation gives 0.1925 eV/atom. The total DFT energy (no corrections) comes out at -4.680 eV per atom.

Lattice parameters (Å, degrees): 3.141 3.141 7.112 90.00 90.00 120.00
Atoms (fractional coordinates):
Zr1 0.000 0.000 0.000
Si1 0.333 0.667 0.689
Hg1 0.667 0.333 0.357



# 10
Compound: LiRe2Ir
Source: Alexandria via LeMat-Bulk
Functional: PBE
Structure: relaxed

The formation energy comes out at 0.10 eV/atom. As for the crystal system: monoclinic. The total DFT energy (no corrections) comes out at -8.821 eV per atom.

Lattice parameters (Å, degrees): 4.565 4.565 4.912 95.16 95.16 34.01
Atoms (fractional coordinates):
Li1 0.000 0.000 0.000
Re1 0.242 0.242 0.745
Re2 0.489 0.489 0.497
Ir1 0.754 0.754 0.219



# 11
Compound: Cd2GeBi
Source: Alexandria via LeMat-Bulk
Functional: PBE
Structure: relaxed

The formation energy comes out at 0.16 eV/atom. As for the crystal system: tetragonal. For the offset from the most stable computed form, the calculation gives 0.0210 eV/atom. The total DFT energy (no corrections) comes out at -2.423 eV per atom.

Lattice parameters (Å, degrees): 3.383 3.383 8.603 90.00 90.00 90.00
Atoms (fractional coordinates):
Cd1 0.000 0.000 0.218
Cd2 0.000 0.000 0.782
Ge1 0.500 0.500 0.000
Bi1 0.500 0.500 0.500



# 12
Compound: CaAs2HSe
Source: Alexandria via LeMat-Bulk
Functional: PBE
Structure: relaxed

As for the crystal system: tetragonal. For the offset from the most stable computed form, the calculation gives 1.1709 eV/atom. The total DFT energy (no corrections) comes out at -2.656 eV per atom.

Lattice parameters (Å, degrees): 5.537 5.537 5.420 90.00 90.00 90.00
Atoms (fractional coordinates):
Ca1 0.000 0.000 0.000
As1 0.000 0.500 0.000
As2 0.500 0.000 0.000
H1 0.500 0.500 0.500
Se1 0.000 0.000 0.500



# 13
Compound: AcNiPd2
Source: Alexandria via LeMat-Bulk
Functional: PBE
Structure: relaxed

The formation energy comes out at -0.42 eV/atom. As for the crystal system: tetragonal. For the offset from the most stable computed form, the calculation gives 0.0823 eV/atom. The total DFT energy (no corrections) comes out at -5.492 eV per atom.

Lattice parameters (Å, degrees): 4.230 4.230 4.286 90.00 90.00 90.00
Atoms (fractional coordinates):
Ac1 0.000 0.000 0.000
Ni1 0.500 0.500 0.000
Pd1 0.000 0.500 0.500
Pd2 0.500 0.000 0.500



# 14
Compound: Pm3Er6Tm2Th
Source: Alexandria via LeMat-Bulk
Functional: PBE
Structure: relaxed

The formation energy comes out at 0.02 eV/atom. As for the crystal system: monoclinic. The total DFT energy (no corrections) comes out at -4.813 eV per atom.

Lattice parameters (Å, degrees): 6.147 6.147 11.729 95.03 95.03 120.00
Atoms (fractional coordinates):
Pm1 0.000 0.000 0.000
Pm2 0.333 0.667 0.000
Pm3 0.667 0.333 0.000
Er1 0.087 0.417 0.254
Er2 0.252 0.252 0.746
Er3 0.417 0.087 0.254
Er4 0.583 0.913 0.746
Er5 0.748 0.748 0.254
Er6 0.913 0.583 0.746
Tm1 0.167 0.833 0.500
Tm2 0.833 0.167 0.500
Th1 0.500 0.500 0.500



# 15
Compound: CsTc3Pt
Source: Alexandria via LeMat-Bulk
Functional: PBE
Structure: relaxed

The formation energy comes out at 3.24 eV/atom. As for the crystal system: cubic. For the offset from the most stable computed form, the calculation gives 1.3294 eV/atom. The total DFT energy (no corrections) comes out at -4.361 eV per atom.

Lattice parameters (Å, degrees): 4.803 4.803 4.803 90.00 90.00 90.00
Atoms (fractional coordinates):
Cs1 0.000 0.000 0.000
Tc1 0.000 0.000 0.500
Tc2 0.000 0.500 0.000
Tc3 0.500 0.000 0.000
Pt1 0.500 0.500 0.500